1.
VASP calculation (PBE) on an optimized crystal structure of AcPmSmSe3.

Cell lengths 8.285, 4.241, 10.610 Å; angles 90.00, 103.87, 90.00 degrees
Space group P2_1/m (No. 11)
Asymmetric unit:
Ac1 0.187 0.250 0.211 [2 per cell]
Pm1 0.339 0.750 0.905 [2 per cell]
Sm1 0.169 0.250 0.623 [2 per cell]
Se1 0.093 0.250 0.890 [2 per cell]
Se2 0.201 0.750 0.440 [2 per cell]
Se3 0.476 0.750 0.197 [2 per cell]

E_form (uncorrected) in eV per atom: -1.674

=====

2.
VASP calculation (PBE) on an optimized crystal structure of Sr3AcPm2Se6.

Cell lengths 7.501, 12.980, 7.634 Å; angles 90.00, 109.16, 90.00 degrees
Space group C2/m (No. 12)
Asymmetric unit:
Sr1 0.000 0.000 0.000 [2 per cell]
Sr2 0.000 0.335 0.000 [4 per cell]
Ac1 0.000 0.500 0.500 [2 per cell]
Pm1 0.000 0.167 0.500 [4 per cell]
Se1 0.238 0.000 0.743 [4 per cell]
Se2 0.247 0.171 0.256 [8 per cell]

E_form (uncorrected) in eV per atom: -1.919

=====

3.
VASP calculation (PBE) on an optimized crystal structure of Sr2AcPmSe4.

Cell lengths 7.542, 4.357, 7.674 Å; angles 90.00, 109.09, 90.00 degrees
Space group P2/m (No. 10)
Asymmetric unit:
Sr1 0.000 0.000 0.000 [1 per cell]
Sr2 0.500 0.500 0.000 [1 per cell]
Ac1 0.000 0.500 0.500 [1 per cell]
Pm1 0.500 0.000 0.500 [1 per cell]
Se1 0.258 0.000 0.749 [2 per cell]
Se2 0.260 0.500 0.257 [2 per cell]

E_form (uncorrected) in eV per atom: -1.919

=====

Please write out number 2 again, unchanged.
VASP calculation (PBE) on an optimized crystal structure of Sr3AcPm2Se6.

Cell lengths 7.501, 12.980, 7.634 Å; angles 90.00, 109.16, 90.00 degrees
Space group C2/m (No. 12)
Asymmetric unit:
Sr1 0.000 0.000 0.000 [2 per cell]
Sr2 0.000 0.335 0.000 [4 per cell]
Ac1 0.000 0.500 0.500 [2 per cell]
Pm1 0.000 0.167 0.500 [4 per cell]
Se1 0.238 0.000 0.743 [4 per cell]
Se2 0.247 0.171 0.256 [8 per cell]

E_form (uncorrected) in eV per atom: -1.919